Compound: CdPb
Source: Alexandria
Functional: PBE
Structure: relaxed

Output
Formation energy from the elements = 0.055 eV per atom
Density of states at the Fermi level = 0.221 states/eV/atom
Total DFT energy (no corrections) = -2.26 eV per atom
Crystal system = cubic
Total magnetization = 0.0 μB per cell

Structure (extended XYZ):
```
4
Lattice="5.406 -0.345 -0.232 2.999 4.511 -0.232 2.999 1.486 4.265" Properties=species:S:1:pos:R:3 pbc="T T T"
Cd 7.128 3.533 2.376
Cd 4.275 2.119 1.425
Pb 1.425 0.706 0.475
Pb 9.978 4.946 3.326
```


Compound: CdPb3
Source: Alexandria
Functional: PBE
Structure: relaxed

Output
Formation energy from the elements = 0.044 eV per atom
Density of states at the Fermi level = 0.451 states/eV/atom
Total DFT energy (no corrections) = -2.97 eV per atom
Crystal system = hexagonal
Total magnetization = 0.0 μB per cell

Structure (extended XYZ):
```
16
Lattice="-1.994 -6.189 -2.747 0.808 0.667 6.981 -10.599 2.998 0.940" Properties=species:S:1:pos:R:3 pbc="T T T"
Pb -3.166 -1.149 0.476
Pb -5.893 -1.262 2.587
Pb -6.297 -1.595 -0.904
Pb -8.620 -1.374 4.698
Pb -3.775 -3.985 2.651
Pb -4.190 -4.328 -0.935
Pb 0.404 0.334 3.490
Pb -0.593 -2.761 2.117
Pb -7.596 1.804 6.108
Pb -8.011 1.462 2.523
Pb -4.896 1.833 3.960
Pb -0.997 -3.095 -1.373
Cd -2.776 -0.869 3.973
Cd 0.000 0.000 0.000
Cd -5.299 1.499 0.470
Cd -9.010 -1.655 1.200
```